Density functional theory data (GGA+U) for a relaxed structure of CrCo2O6.

Computed properties:
The excess energy over the best structure of this formula in the dataset comes out at 0 meV per atom. For the raw total energy, the calculation gives -6.19 eV per atom. The volume comes out at 11.8 A^3/atom. For the calculated density, the calculation gives 4.14 g/cm3.

Cell: 6.644 6.644 5.997 Å, 74.21 74.21 24.78°
Element x y z (fractional)
O 0.181 0.181 0.950
O 0.842 0.842 0.623
O 0.485 0.485 0.722
O 0.515 0.515 0.278
O 0.819 0.819 0.050
O 0.158 0.158 0.377
Co 0.669 0.669 0.164
Co 0.331 0.331 0.836
Cr 0.000 0.000 0.500